## CaAgS3 (GGA-PBE)

Data for a geometry-optimized CaAgS3 structure.

a = 5.2904 Å, b = 5.2904 Å, c = 5.2904 Å
α = 90.00°, β = 90.00°, γ = 90.00°
Positions (direct):
1 S 0.0000 0.5000 0.0000
2 S 0.0000 0.0000 0.5000
3 S 0.5000 0.0000 0.0000
4 Ca 0.0000 0.0000 0.0000
5 Ag 0.5000 0.5000 0.5000

The distance to the lowest polymorph of the same formula comes out at 510.3 meV/atom. The raw total energy comes out at -3.20 eV per atom. The total magnetization comes out at 3.000 μB per formula unit. The value obtained for the density of states at the Fermi level is 1.4 states/eV/cell. For the formation energy from raw total energies, the calculation gives 252 meV/atom.